DFT (GGA-PBE) results for KAl2TeO6 after structural relaxation.

Computed properties:
SG: C2/c
Formation energy without anion corrections, eV per atom: -2.023

a = 6.021 Å, b = 7.435 Å, c = 7.435 Å
α = 90.03°, β = 76.70°, γ = 76.70°
Site moments in Bohr magnetons follow the coordinates.
Element x y z (fractional)
Te  0.250  0.280  0.720  0.18
Te  0.750  0.720  0.280  0.18
O  0.909  0.390  0.794  0.23
O  0.091  0.610  0.206  0.23
O  0.877  0.316  0.267  0.04
O  0.300  0.273  0.964  0.04
O  0.700  0.727  0.036  0.04
O  0.623  0.733  0.684  0.04
O  0.800  0.964  0.273  0.04
O  0.591  0.206  0.610  0.23
O  0.409  0.794  0.390  0.23
O  0.123  0.684  0.733  0.04
O  0.377  0.267  0.316  0.04
O  0.200  0.036  0.727  0.04
Al  0.159  0.362  0.200  0.00
Al  0.341  0.800  0.638  0.00
Al  0.841  0.638  0.800  0.00
Al  0.659  0.200  0.362  0.00
K  0.750  0.097  0.903  0.00
K  0.250  0.903  0.097  0.00

---

DFT (GGA-PBE) results for SmAgSeS after structural relaxation.

Computed properties:
SG: R-3m
Formation energy without anion corrections, eV per atom: -1.255

a = 4.504 Å, b = 4.504 Å, c = 11.443 Å
α = 78.65°, β = 78.65°, γ = 60.00°
Element x y z (fractional)
Ag  0.807  0.807  0.578
Ag  0.193  0.193  0.422
Se  0.890  0.890  0.330
Se  0.110  0.110  0.670
Sm  0.611  0.611  0.166
Sm  0.389  0.389  0.834
S  0.697  0.697  0.909
S  0.303  0.303  0.091

---

DFT (GGA-PBE) results for KTe2IN after structural relaxation.

Computed properties:
ΔE to the lowest computed polymorph, meV per atom: 501
SG: P4/mmm
Formation energy without anion corrections, eV per atom: 0.674

a = 6.399 Å, b = 6.399 Å, c = 3.934 Å
α = 90.00°, β = 90.00°, γ = 90.00°
Element x y z (fractional)
I  0.000  0.000  0.000
Te  0.000  0.500  0.000
Te  0.500  0.000  0.000
K  0.500  0.500  0.500
N  0.000  0.000  0.500

---

DFT (GGA-PBE) results for NaCeP2 after structural relaxation.

Computed properties:
ΔE to the lowest computed polymorph, meV per atom: 31
Formation enthalpy at 0 K, meV/atom: -630
SG: R3m

a = 4.217 Å, b = 4.217 Å, c = 6.822 Å
α = 72.00°, β = 72.00°, γ = 60.00°
Element x y z (fractional)
Na  0.494  0.494  0.519
Ce  0.670  0.670  0.991
P  0.078  0.078  0.766
P  0.259  0.259  0.224

---

DFT (GGA-PBE) results for Ti5Zn3In3 after structural relaxation.

Computed properties:
Formation enthalpy at 0 K, meV/atom: 7
SG: P1

a = 5.290 Å, b = 7.435 Å, c = 7.216 Å
α = 104.54°, β = 84.20°, γ = 132.53°
Site moments in Bohr magnetons follow the coordinates.
Element x y z (fractional)
Ti  0.400  0.854  0.417  -0.07
Ti  0.665  0.611  0.315  0.27
Ti  0.751  0.497  0.631  0.00
Ti  0.278  0.522  0.642  -0.06
Ti  0.345  0.401  0.971  0.61
In  0.876  0.311  0.259  0.00
In  0.017  0.001  0.644  0.00
In  0.091  0.677  0.015  0.00
Zn  0.197  0.118  0.299  0.00
Zn  0.766  0.889  0.000  0.01
Zn  0.614  0.118  0.807  0.00

---

DFT (GGA-PBE) results for LaPr2Pd2 after structural relaxation.

Computed properties:
ΔE to the lowest computed polymorph, meV per atom: 0
Formation enthalpy at 0 K, meV/atom: -605
SG: P4/mbm

a = 4.084 Å, b = 8.145 Å, c = 8.145 Å
α = 90.00°, β = 90.00°, γ = 90.00°
Element x y z (fractional)
La  0.500  0.500  0.000
La  0.500  0.000  0.500
Pd  0.500  0.373  0.373
Pd  0.500  0.627  0.627
Pd  0.500  0.873  0.127
Pd  0.500  0.127  0.873
Pr  0.000  0.335  0.665
Pr  0.000  0.835  0.835
Pr  0.000  0.665  0.335
Pr  0.000  0.165  0.165

---

DFT (GGA-PBE) results for Er5Ni2Te after structural relaxation.

Computed properties:
SG: I4/mcm
Formation energy without anion corrections, eV per atom: -0.580

a = 7.595 Å, b = 7.595 Å, c = 8.508 Å
α = 116.51°, β = 116.51°, γ = 90.00°
Element x y z (fractional)
Er  0.481  0.290  0.271
Er  0.500  0.500  0.000
Er  0.000  0.000  0.000
Er  0.710  0.210  0.729
Er  0.519  0.710  0.729
Er  0.790  0.981  0.271
Er  0.019  0.519  0.729
Er  0.290  0.790  0.271
Er  0.981  0.481  0.271
Er  0.210  0.019  0.729
Ni  0.134  0.366  0.000
Ni  0.366  0.866  0.000
Ni  0.634  0.134  0.000
Ni  0.866  0.634  0.000
Te  0.250  0.250  0.500
Te  0.750  0.750  0.500

---

DFT (GGA-PBE) results for La2YVSn after structural relaxation.

Computed properties:
Formation enthalpy at 0 K, meV/atom: 1253
SG: P4/mmm

a = 5.716 Å, b = 5.643 Å, c = 5.716 Å
α = 90.00°, β = 90.00°, γ = 90.00°
Site moments in Bohr magnetons follow the coordinates.
Element x y z (fractional)
La  0.500  0.000  0.000  0.02
La  0.000  0.000  0.500  -0.01
Y  0.000  0.000  0.000  -0.04
Sn  0.000  0.500  0.000  0.01
V  0.500  0.500  0.500  0.10

---

DFT (GGA-PBE) results for NiAsCl2 after structural relaxation.

Computed properties:
ΔE to the lowest computed polymorph, meV per atom: 1001
SG: F-43m
Formation energy without anion corrections, eV per atom: 0.544

a = 4.617 Å, b = 4.617 Å, c = 4.617 Å
α = 60.00°, β = 60.00°, γ = 60.00°
Site moments in Bohr magnetons follow the coordinates.
Element x y z (fractional)
Cl  0.250  0.250  0.250  0.00
Cl  0.000  0.000  0.000  0.02
As  0.500  0.500  0.500  0.01
Ni  0.750  0.750  0.750  0.14

---

DFT (GGA-PBE) results for TiSn2Ir after structural relaxation.

Computed properties:
Formation enthalpy at 0 K, meV/atom: 130
SG: I-42d

a = 4.162 Å, b = 4.162 Å, c = 10.012 Å
α = 78.00°, β = 78.00°, γ = 90.00°
Element x y z (fractional)
Sn  0.119  0.625  0.250
Sn  0.875  0.881  0.750
Sn  0.631  0.125  0.250
Sn  0.375  0.369  0.750
Ti  0.500  0.500  0.000
Ti  0.250  0.750  0.500
Ir  0.750  0.250  0.500
Ir  0.000  0.000  0.000

---

DFT (GGA-PBE) results for KLiMn2S4 after structural relaxation.

Computed properties:
SG: Cmcm
Formation energy without anion corrections, eV per atom: -0.731

a = 3.755 Å, b = 6.494 Å, c = 12.888 Å
α = 90.00°, β = 90.00°, γ = 106.80°
Site moments in Bohr magnetons follow the coordinates.
Element x y z (fractional)
S  0.257  0.514  0.095  -0.03
S  0.000  0.000  0.500  -0.03
S  0.257  0.514  0.405  -0.03
S  0.427  0.853  0.750  0.01
S  0.573  0.147  0.250  0.01
S  0.743  0.486  0.595  -0.03
S  0.743  0.486  0.905  -0.03
S  0.000  0.000  0.000  -0.03
K  0.113  0.227  0.750  0.01
K  0.887  0.773  0.250  0.01
Mn  0.632  0.265  0.437  3.77
Mn  0.368  0.735  0.937  3.77
Mn  0.632  0.265  0.063  3.77
Mn  0.368  0.735  0.563  3.77
Li  0.831  0.662  0.750  0.01
Li  0.169  0.338  0.250  0.01

---

Values of M_tot, in order: 2.0, 0.0, 0.0, 0.0, 0.9, 0.0, 0.0, 0.3, 0.2, 0.0, 16.0, all in Bohr magnetons per cell.